# 1
A plane-wave DFT calculation with PBE-GGA was carried out for HgTe3Pd2 after structural relaxation.

Properties
E_form (uncorrected) = -0.30 eV per atom

Cell: 8.003 8.003 5.528 Å, 90.00 90.00 120.00°
Positions (direct):
Hg1 0.333 0.667 0.180
Hg2 0.667 0.333 0.820
Te1 0.171 0.342 0.746
Te2 0.171 0.829 0.746
Te3 0.342 0.171 0.254
Te4 0.658 0.829 0.746
Te5 0.829 0.171 0.254
Te6 0.829 0.658 0.254
Pd1 0.000 0.000 0.500
Pd2 0.000 0.500 0.500
Pd3 0.500 0.000 0.500
Pd4 0.500 0.500 0.500

# 2
A plane-wave DFT calculation with PBE-GGA was carried out for HgTePd14 after structural relaxation.

Properties
E_form (uncorrected) = -0.09 eV per atom

Cell: 5.778 5.778 7.701 Å, 90.00 90.00 90.00°
Positions (direct):
Hg1 0.000 0.000 0.000
Te1 0.500 0.500 0.000
Pd1 0.000 0.000 0.500
Pd2 0.000 0.500 0.000
Pd3 0.000 0.500 0.500
Pd4 0.252 0.252 0.254
Pd5 0.252 0.252 0.746
Pd6 0.252 0.748 0.254
Pd7 0.252 0.748 0.746
Pd8 0.500 0.000 0.000
Pd9 0.500 0.000 0.500
Pd10 0.500 0.500 0.500
Pd11 0.748 0.252 0.254
Pd12 0.748 0.252 0.746
Pd13 0.748 0.748 0.254
Pd14 0.748 0.748 0.746

# 3
A plane-wave DFT calculation with PBE-GGA was carried out for HgTe2Pd2 after structural relaxation.

Properties
E_form (uncorrected) = -0.05 eV per atom

Cell: 6.110 6.110 6.110 Å, 131.42 131.42 71.15°
Positions (direct):
Hg1 0.000 0.000 0.000
Te1 0.250 0.750 0.500
Te2 0.750 0.250 0.500
Pd1 0.352 0.352 0.000
Pd2 0.648 0.648 0.000

# 4
A plane-wave DFT calculation with PBE-GGA was carried out for HgTe8Pd4 after structural relaxation.

Properties
E_form (uncorrected) = -0.24 eV per atom

Cell: 8.090 8.090 8.520 Å, 118.38 118.38 60.01°
Positions (direct):
Hg1 0.000 0.000 0.000
Te1 0.228 0.734 0.695
Te2 0.232 0.232 0.696
Te3 0.266 0.266 0.305
Te4 0.266 0.772 0.305
Te5 0.734 0.228 0.695
Te6 0.734 0.734 0.695
Te7 0.768 0.768 0.304
Te8 0.772 0.266 0.305
Pd1 0.000 0.000 0.500
Pd2 0.000 0.500 0.500
Pd3 0.500 0.000 0.500
Pd4 0.500 0.500 0.500

# 5
A plane-wave DFT calculation with PBE-GGA was carried out for HgTe2Pd7 after structural relaxation.

Properties
E_form (uncorrected) = -0.23 eV per atom

Cell: 11.650 11.650 11.650 Å, 159.83 159.83 28.67°
Positions (direct):
Hg1 0.000 0.000 0.000
Te1 0.333 0.333 0.000
Te2 0.667 0.667 0.000
Pd1 0.091 0.591 0.500
Pd2 0.250 0.750 0.500
Pd3 0.409 0.909 0.500
Pd4 0.500 0.500 0.000
Pd5 0.591 0.091 0.500
Pd6 0.750 0.250 0.500
Pd7 0.909 0.409 0.500

# 6
A plane-wave DFT calculation with PBE-GGA was carried out for HgTe4Pd2 after structural relaxation.

Properties
E_form (uncorrected) = -0.22 eV per atom

Cell: 8.252 8.252 8.252 Å, 120.29 120.14 89.63°
Positions (direct):
Hg1 0.000 0.000 0.000
Hg2 0.500 0.000 0.500
Te1 0.265 0.735 0.531
Te2 0.268 0.297 0.529
Te3 0.268 0.739 0.971
Te4 0.296 0.265 0.031
Te5 0.704 0.735 0.969
Te6 0.732 0.261 0.029
Te7 0.732 0.703 0.471
Te8 0.735 0.265 0.469
Pd1 0.000 0.500 0.500
Pd2 0.500 0.000 0.000
Pd3 0.500 0.500 0.000
Pd4 0.500 0.500 0.500

# 7
A plane-wave DFT calculation with PBE-GGA was carried out for U2Hg3Te6Pd after structural relaxation.

Properties
E_form (uncorrected) = -0.30 eV per atom

Cell: 6.663 6.663 9.518 Å, 94.67 94.67 118.31°
Positions (direct):
U1 0.121 0.879 0.000
U2 0.879 0.121 0.000
Hg1 0.000 0.000 0.500
Hg2 0.273 0.727 0.500
Hg3 0.727 0.273 0.500
Te1 0.152 0.491 0.824
Te2 0.239 0.239 0.257
Te3 0.491 0.152 0.824
Te4 0.509 0.848 0.176
Te5 0.761 0.761 0.743
Te6 0.848 0.509 0.176
Pd1 0.500 0.500 0.000

# 8
A plane-wave DFT calculation with PBE-GGA was carried out for V2Hg2Te6Pd after structural relaxation.

Properties
E_form (uncorrected) = -0.22 eV per atom

Cell: 6.379 6.379 9.209 Å, 99.59 99.59 117.83°
Positions (direct):
V1 0.207 0.793 0.000
V2 0.793 0.207 0.000
Hg1 0.349 0.651 0.500
Hg2 0.651 0.349 0.500
Te1 0.055 0.381 0.794
Te2 0.219 0.219 0.154
Te3 0.381 0.055 0.794
Te4 0.619 0.945 0.206
Te5 0.781 0.781 0.846
Te6 0.945 0.619 0.206
Pd1 0.500 0.500 0.000

# 9
A plane-wave DFT calculation with PBE-GGA was carried out for ZnHgTe2Pd after structural relaxation.

Properties
E_form (uncorrected) = 0.75 eV per atom

Cell: 5.648 5.648 4.850 Å, 90.00 90.00 90.00°
Positions (direct):
Zn1 0.000 0.000 0.000
Hg1 0.000 0.000 0.500
Te1 0.000 0.500 0.500
Te2 0.500 0.000 0.500
Pd1 0.500 0.500 0.000

# 10
A plane-wave DFT calculation with PBE-GGA was carried out for Zr2HgTePd after structural relaxation.

Properties
E_form (uncorrected) = 0.65 eV per atom

Cell: 5.299 5.299 4.952 Å, 90.00 90.00 90.00°
Positions (direct):
Zr1 0.000 0.500 0.000
Zr2 0.500 0.000 0.000
Hg1 0.000 0.000 0.000
Te1 0.500 0.500 0.500
Pd1 0.000 0.000 0.500

# 11
A plane-wave DFT calculation with PBE-GGA was carried out for Th2Hg2Pd3 after structural relaxation.

Properties
energy of formation = -501 meV/atom

Cell: 6.849 6.849 6.565 Å, 111.60 111.60 35.71°
Positions (direct):
Th1 0.121 0.121 0.319
Th2 0.879 0.879 0.681
Hg1 0.394 0.394 0.294
Hg2 0.606 0.606 0.706
Pd1 0.266 0.266 0.818
Pd2 0.500 0.500 0.000
Pd3 0.734 0.734 0.182

# 12
A plane-wave DFT calculation with PBE-GGA was carried out for ThHg2Pd4 after structural relaxation.

Properties
energy of formation = -343 meV/atom

Cell: 5.762 5.762 4.973 Å, 90.00 90.00 118.26°
Positions (direct):
Th1 0.000 0.000 0.000
Hg1 0.252 0.748 0.500
Hg2 0.748 0.252 0.500
Pd1 0.000 0.500 0.000
Pd2 0.259 0.259 0.500
Pd3 0.500 0.000 0.000
Pd4 0.741 0.741 0.500